# 1
5
Lattice="5.7712 0.0000 0.0000 0.0000 5.7712 0.0000 0.0000 0.0000 4.9119" Properties=species:S:1:pos:R:3 comment="KNa2GaAu, optimized geometry, DFT PBE" magnetic_moment_mub_per_fu=0.00 volume_a3_per_cell=163.6 dos_at_fermi_per_ev_fu=2.3 e_tot_ev_per_atom=-2.10 pbc="T T T"
Ga 0.0000 0.0000 0.0000
K 2.8856 2.8856 2.4560
Na 0.0000 2.8856 0.0000
Na 2.8856 0.0000 0.0000
Au 0.0000 0.0000 2.4560

# 2
4
Lattice="-3.1117 1.2373 -4.1169 -3.2146 -3.6672 -2.0927 -5.2510 0.3843 0.6641" Properties=species:S:1:pos:R:3 comment="LiNdEuAu, optimized geometry, DFT PBE" magnetic_moment_mub_per_fu=7.20 volume_a3_per_cell=105.7 dos_at_fermi_per_ev_fu=6.1 e_tot_ev_per_atom=-5.41 pbc="T T T"
Eu -8.6830 -1.5342 -4.1591
Au 0.0000 0.0000 0.0000
Nd -2.8943 -0.5114 -1.3864
Li -5.7887 -1.0228 -2.7727

# 3
4
Lattice="-3.3145 4.0903 2.2995 -5.6124 -0.7734 -0.9526 4.7008 -2.2679 2.4007" Properties=species:S:1:pos:R:3 comment="In2FeCl, optimized geometry, DFT PBE" magnetic_moment_mub_per_fu=2.85 volume_a3_per_cell=87.7 dos_at_fermi_per_ev_fu=2.6 e_tot_ev_per_atom=-3.70 pbc="T T T"
Cl -1.5385 1.7404 2.6868
In -4.2143 1.5659 0.6359
In -0.2491 0.0926 0.0376
Fe -2.6875 -0.6915 1.0608

What did the first record say?
5
Lattice="5.7712 0.0000 0.0000 0.0000 5.7712 0.0000 0.0000 0.0000 4.9119" Properties=species:S:1:pos:R:3 comment="KNa2GaAu, optimized geometry, DFT PBE" magnetic_moment_mub_per_fu=0.00 volume_a3_per_cell=163.6 dos_at_fermi_per_ev_fu=2.3 e_tot_ev_per_atom=-2.10 pbc="T T T"
Ga 0.0000 0.0000 0.0000
K 2.8856 2.8856 2.4560
Na 0.0000 2.8856 0.0000
Na 2.8856 0.0000 0.0000
Au 0.0000 0.0000 2.4560